Record 1
{"formula": "Fe5Co2Ni12", "functional": "GGA-PBE", "state": "optimized geometry", "cell": [[7.682, -2.468, 0.000], [7.682, 2.468, 0.000], [-1.917, 0.000, 5.819]], "species": ["Fe", "Fe", "Fe", "Fe", "Fe", "Co", "Co", "Ni", "Ni", "Ni", "Ni", "Ni", "Ni", "Ni", "Ni", "Ni", "Ni", "Ni", "Ni"], "fractional_positions": [[0.000, 0.000, 0.000], [0.247, 0.247, 0.987], [0.348, 0.348, 0.415], [0.652, 0.652, 0.585], [0.753, 0.753, 0.013], [0.247, 0.753, 0.500], [0.753, 0.247, 0.500], [0.049, 0.554, 0.706], [0.148, 0.148, 0.584], [0.152, 0.638, 0.115], [0.362, 0.848, 0.885], [0.446, 0.951, 0.294], [0.451, 0.451, 0.803], [0.549, 0.549, 0.197], [0.554, 0.049, 0.706], [0.638, 0.152, 0.115], [0.848, 0.362, 0.885], [0.852, 0.852, 0.416], [0.951, 0.446, 0.294]], "formation_enthalpy_0k_mev_per_atom": 92.3}

Record 2
{"formula": "Fe5Co4Ni", "functional": "GGA-PBE", "state": "optimized geometry", "cell": [[2.852, 0.000, 0.000], [0.000, 2.852, 0.000], [0.000, 0.000, 14.141]], "species": ["Fe", "Fe", "Fe", "Fe", "Fe", "Co", "Co", "Co", "Co", "Ni"], "fractional_positions": [[0.000, 0.000, 0.000], [0.000, 0.000, 0.201], [0.000, 0.000, 0.399], [0.000, 0.000, 0.601], [0.000, 0.000, 0.799], [0.500, 0.500, 0.100], [0.500, 0.500, 0.294], [0.500, 0.500, 0.706], [0.500, 0.500, 0.900], [0.500, 0.500, 0.500]], "formation_enthalpy_0k_mev_per_atom": 68.8}

Record 3
{"formula": "Fe2Co3Ni2", "functional": "GGA-PBE", "state": "optimized geometry", "cell": [[7.888, 0.000, 0.000], [0.000, 3.561, 0.000], [-0.862, 0.000, 5.557]], "species": ["Fe", "Fe", "Fe", "Fe", "Co", "Co", "Co", "Co", "Co", "Co", "Ni", "Ni", "Ni", "Ni"], "fractional_positions": [[0.210, 0.000, 0.146], [0.290, 0.500, 0.854], [0.710, 0.500, 0.146], [0.790, 0.000, 0.854], [0.000, 0.500, 0.000], [0.139, 0.500, 0.427], [0.361, 0.000, 0.573], [0.500, 0.000, 0.000], [0.639, 0.000, 0.427], [0.861, 0.500, 0.573], [0.073, 0.000, 0.710], [0.427, 0.500, 0.290], [0.573, 0.500, 0.710], [0.927, 0.000, 0.290]], "formation_enthalpy_0k_mev_per_atom": -14.7}

Record 4
{"formula": "Fe7Co6Ni16", "functional": "GGA-PBE", "state": "optimized geometry", "cell": [[0.000, 5.578, 5.578], [5.578, 0.000, 5.578], [5.578, 5.578, 0.000]], "species": ["Fe", "Fe", "Fe", "Fe", "Fe", "Fe", "Fe", "Co", "Co", "Co", "Co", "Co", "Co", "Ni", "Ni", "Ni", "Ni", "Ni", "Ni", "Ni", "Ni", "Ni", "Ni", "Ni", "Ni", "Ni", "Ni", "Ni", "Ni"], "fractional_positions": [[0.000, 0.000, 0.000], [0.000, 0.000, 0.500], [0.000, 0.500, 0.000], [0.000, 0.500, 0.500], [0.500, 0.000, 0.000], [0.500, 0.000, 0.500], [0.500, 0.500, 0.000], [0.286, 0.286, 0.714], [0.286, 0.714, 0.286], [0.286, 0.714, 0.714], [0.714, 0.286, 0.286], [0.714, 0.286, 0.714], [0.714, 0.714, 0.286], [0.006, 0.665, 0.665], [0.118, 0.118, 0.118], [0.118, 0.118, 0.645], [0.118, 0.645, 0.118], [0.335, 0.335, 0.335], [0.335, 0.335, 0.994], [0.335, 0.994, 0.335], [0.355, 0.882, 0.882], [0.645, 0.118, 0.118], [0.665, 0.006, 0.665], [0.665, 0.665, 0.006], [0.665, 0.665, 0.665], [0.882, 0.355, 0.882], [0.882, 0.882, 0.355], [0.882, 0.882, 0.882], [0.994, 0.335, 0.335]], "formation_enthalpy_0k_mev_per_atom": 185.0}

Record 5
{"formula": "Fe3Co3Ni5", "functional": "GGA-PBE", "state": "optimized geometry", "cell": [[7.913, 0.000, 0.000], [-3.957, 6.853, 0.000], [0.000, 0.000, 2.502]], "species": ["Fe", "Fe", "Fe", "Co", "Co", "Co", "Ni", "Ni", "Ni", "Ni", "Ni"], "fractional_positions": [[0.000, 0.585, 0.000], [0.415, 0.415, 0.000], [0.585, 0.000, 0.000], [0.000, 0.832, 0.500], [0.168, 0.168, 0.500], [0.832, 0.000, 0.500], [0.000, 0.337, 0.500], [0.333, 0.667, 0.500], [0.337, 0.000, 0.500], [0.663, 0.663, 0.500], [0.667, 0.333, 0.500]], "formation_enthalpy_0k_mev_per_atom": 411.5}

Record 6
{"formula": "Fe4CoNi15", "functional": "GGA-PBE", "state": "optimized geometry", "cell": [[3.545, 0.000, 0.000], [0.000, 3.545, 0.000], [0.000, 0.000, 17.622]], "species": ["Fe", "Fe", "Fe", "Fe", "Co", "Ni", "Ni", "Ni", "Ni", "Ni", "Ni", "Ni", "Ni", "Ni", "Ni", "Ni", "Ni", "Ni", "Ni", "Ni"], "fractional_positions": [[0.000, 0.000, 0.100], [0.000, 0.000, 0.301], [0.000, 0.000, 0.699], [0.000, 0.000, 0.900], [0.000, 0.000, 0.500], [0.000, 0.500, 0.000], [0.000, 0.500, 0.200], [0.000, 0.500, 0.401], [0.000, 0.500, 0.599], [0.000, 0.500, 0.800], [0.500, 0.000, 0.000], [0.500, 0.000, 0.200], [0.500, 0.000, 0.401], [0.500, 0.000, 0.599], [0.500, 0.000, 0.800], [0.500, 0.500, 0.100], [0.500, 0.500, 0.300], [0.500, 0.500, 0.500], [0.500, 0.500, 0.700], [0.500, 0.500, 0.900]], "formation_enthalpy_0k_mev_per_atom": -63.9}